No. 1
Zr3Tc2Pd | PBE-GGA | relaxed

a b c (Å): 3.3245 3.3245 9.8746
angles (deg): 90.00 90.00 90.00
Last column: nearest neighbours and their distance in Å.
Sites, in units of the cell vectors:
Zr 0.0000 0.0000 0.3238  4 Tc 2.80, 4 Pd 2.92
Zr 0.0000 0.0000 0.0000  8 Tc 2.89, 2 Zr 3.20
Zr 0.0000 0.0000 0.6762  4 Tc 2.80, 4 Pd 2.92
Tc 0.5000 0.5000 0.1703  8 Zr 2.80-2.89
Tc 0.5000 0.5000 0.8297  8 Zr 2.80-2.89
Pd 0.5000 0.5000 0.5000  8 Zr 2.92, 2 Tc 3.26

Summary:
Formation energy, eV per atom: -0.532
Energy, eV/atom: -9.12
Density, g/cm³: 8.765

***

No. 2
RbEr2Cu3Te5 | PBE-GGA | relaxed

a b c (Å): 8.0160 8.0160 18.1538
angles (deg): 90.00 90.00 148.42
Last column: nearest neighbours and their distance in Å.
Sites, in units of the cell vectors:
Er 0.3086 0.6914 0.5908  6 Te 3.01-3.14
Er 0.3086 0.6914 0.9092  6 Te 3.01-3.14
Er 0.6914 0.3086 0.0908  6 Te 3.01-3.14
Er 0.6914 0.3086 0.4092  6 Te 3.01-3.14
Rb 0.5562 0.4438 0.7500  8 Te 3.61-3.71, 2 Cu 3.99
Rb 0.4438 0.5562 0.2500  8 Te 3.61-3.71, 2 Cu 3.99
Te 0.3362 0.6638 0.4266  2 Cu 2.66
Te 0.6638 0.3362 0.5734  2 Cu 2.66
Te 0.2504 0.7496 0.7500  2 Cu 2.58
Te 0.0570 0.9430 0.3809  3 Cu 2.63-2.86
Te 0.9430 0.0570 0.8809  3 Cu 2.63-2.86
Te 0.3362 0.6638 0.0734  2 Cu 2.66
Te 0.7496 0.2504 0.2500  2 Cu 2.58
Te 0.0570 0.9430 0.1191  3 Cu 2.63-2.86
Te 0.6638 0.3362 0.9266  2 Cu 2.66
Te 0.9430 0.0570 0.6191  3 Cu 2.63-2.86
Cu 0.1600 0.8400 0.2500  4 Te 2.58-2.86
Cu 0.0850 0.9150 0.5236  4 Te 2.63-2.79, 1 Cu 2.76
Cu 0.9150 0.0850 0.0236  4 Te 2.63-2.79, 1 Cu 2.76
Cu 0.0850 0.9150 0.9764  4 Te 2.63-2.79, 1 Cu 2.76
Cu 0.8400 0.1600 0.7500  4 Te 2.58-2.86
Cu 0.9150 0.0850 0.4764  4 Te 2.63-2.79, 1 Cu 2.76

Summary:
Energy, eV/atom: -4.19
Density, g/cm³: 6.788

***

No. 3
LiZr | PBE-GGA | relaxed

a b c (Å): 5.2084 9.2753 4.8840
angles (deg): 90.00 90.00 90.01
Last column: nearest neighbours and their distance in Å.
Sites, in units of the cell vectors:
Li 0.9934 0.0056 0.0000  5 Zr 2.92-3.03, 6 Li 2.94-2.99
Li 0.8240 0.1544 0.5000  7 Li 2.92-3.16, 5 Zr 2.98-3.15
Li 0.3240 0.0120 0.5000  7 Li 2.92-3.15, 5 Zr 2.99-3.15
Li 0.4931 0.1610 0.0000  5 Zr 2.91-3.03, 6 Li 2.94-2.99
Li 0.8453 0.4944 0.5000  9 Zr 2.97-3.14, 3 Li 3.08-3.16
Li 0.3451 0.6724 0.5000  9 Zr 2.97-3.14, 3 Li 3.08-3.15
Zr 0.4886 0.8468 0.0000  7 Li 2.91-3.02, 4 Zr 3.05-3.08
Zr 0.0114 0.6512 0.0000  6 Zr 2.89-3.10, 4 Li 2.97-3.00
Zr 0.8376 0.8328 0.5000  8 Li 2.97-3.15, 4 Zr 3.05-3.10
Zr 0.5114 0.5156 0.0000  6 Zr 2.89-3.10, 4 Li 2.97-3.00
Zr 0.3379 0.3338 0.5000  8 Li 2.97-3.15, 4 Zr 3.05-3.10
Zr 0.9881 0.3199 0.0000  7 Li 2.92-3.02, 4 Zr 3.05-3.08

Summary:
Energy above the most stable polymorph in this dataset, meV/atom: 190
Energy, eV/atom: -4.92
Density, g/cm³: 4.145

***

No. 4
CsZn4B3O9 | PBE-GGA | relaxed

a b c (Å): 6.8201 5.0362 12.8555
angles (deg): 90.00 91.62 90.00
Last column: nearest neighbours and their distance in Å.
Sites, in units of the cell vectors:
O 0.5975 0.2915 0.3286  1 B 1.38
O 0.5000 0.1213 0.7500  1 B 1.39
O 0.4025 0.2915 0.1714  1 B 1.38
O 0.7358 0.3963 0.5595  1 B 1.41
O 0.2642 0.6037 0.4405  1 B 1.41
O 0.5975 0.7086 0.8286  1 B 1.38
O 0.2642 0.3963 0.9405  1 B 1.41
O 0.7247 0.2024 0.9616  1 B 1.39
O 0.2753 0.7976 0.0384  1 B 1.39
O 0.7358 0.6037 0.0595  1 B 1.41
O 0.2753 0.2024 0.5384  1 B 1.39
O 0.0502 0.2424 0.3919  1 B 1.35
O 0.9498 0.7576 0.6081  1 B 1.35
O 0.7247 0.7976 0.4616  1 B 1.39
O 0.0502 0.7576 0.8919  1 B 1.35
O 0.9498 0.2424 0.1081  1 B 1.35
O 0.4025 0.7086 0.6714  1 B 1.38
O 0.5000 0.8787 0.2500  1 B 1.39
B 0.5000 0.8460 0.7500  3 O 1.38-1.39
B 0.8074 0.3440 0.0451  3 O 1.35-1.41
B 0.1926 0.3440 0.4549  3 O 1.35-1.41
B 0.5000 0.1540 0.2500  3 O 1.38-1.39
B 0.1926 0.6560 0.9549  3 O 1.35-1.41
B 0.8074 0.6560 0.5451  3 O 1.35-1.41
Zn 0.2092 0.8340 0.5619  4 O 1.92-2.00
Zn 0.4856 0.6484 0.1261  4 O 1.94-1.98
Zn 0.5144 0.3516 0.8739  4 O 1.94-1.98
Zn 0.5144 0.6484 0.3739  4 O 1.94-1.98
Zn 0.7908 0.1660 0.4381  4 O 1.92-2.00
Zn 0.2092 0.1660 0.0619  4 O 1.92-2.00
Zn 0.4856 0.3516 0.6261  4 O 1.94-1.98
Zn 0.7908 0.8340 0.9381  4 O 1.92-2.00
Cs 0.0000 0.2640 0.7500  8 O 3.07-3.36
Cs 0.0000 0.7360 0.2500  8 O 3.07-3.36

Summary:
Energy, eV/atom: -6.10
Density, g/cm³: 4.296

***

No. 5
TbCo3 | PBE-GGA | relaxed

a b c (Å): 4.7332 4.7332 4.7332
angles (deg): 131.63 131.63 70.82
Last column: nearest neighbours and their distance in Å.
Sites, in units of the cell vectors:
Co 0.5000 0.5000 0.0000  8 Co 2.74, 4 Tb 2.74
Co 0.7500 0.2500 0.5000  4 Tb 2.74, 8 Co 2.74
Co 0.2500 0.7500 0.5000  8 Co 2.74, 4 Tb 2.74
Tb 0.0000 0.0000 0.0000  12 Co 2.74

Summary:
Formation energy, eV per atom: 0.218
Energy, eV/atom: -6.27
Density, g/cm³: 9.608

***

No. 6
NiGe4S3 | PBE-GGA | relaxed

a b c (Å): 6.6274 3.4561 7.0490
angles (deg): 90.00 103.08 90.00
Last column: nearest neighbours and their distance in Å.
Sites, in units of the cell vectors:
Ge 0.3719 0.0000 0.3140  3 S 2.42-2.47, 2 Ni 2.53
Ge 0.5301 0.5000 0.7987  3 S 2.34-2.46, 1 Ni 2.38
Ge 0.0923 0.0000 0.6802  2 Ni 2.41, 1 S 2.56
Ge 0.9142 0.5000 0.2809  2 S 2.43, 1 Ni 2.46
S 0.3365 0.5000 0.0578  3 Ge 2.46-2.47
S 0.7637 0.0000 0.9158  2 Ge 2.34
S 0.7448 0.0000 0.4305  4 Ge 2.42-2.56
Ni 0.2464 0.5000 0.5221  6 Ge 2.38-2.53

Summary:
Energy, eV/atom: -4.64
Density, g/cm³: 4.703

***

No. 7
YCoSbPd | PBE-GGA | relaxed

a b c (Å): 4.7567 4.7567 4.7567
angles (deg): 60.00 60.00 60.00
Last column: nearest neighbours and their distance in Å.
Sites, in units of the cell vectors:
Sb 0.0000 0.0000 0.0000  4 Co 2.91, 4 Y 2.91
Y 0.2500 0.2500 0.2500  4 Pd 2.91, 4 Sb 2.91
Pd 0.5000 0.5000 0.5000  4 Y 2.91, 4 Co 2.91
Co 0.7500 0.7500 0.7500  4 Pd 2.91, 4 Sb 2.91

Summary:
Energy above the most stable polymorph in this dataset, meV/atom: 215
Energy, eV/atom: -5.97
Density, g/cm³: 8.205

***

No. 8
KNbBr3 | PBE-GGA | relaxed

a b c (Å): 5.4072 5.4072 5.5761
angles (deg): 90.00 90.00 90.00
Last column: nearest neighbours and their distance in Å.
Sites, in units of the cell vectors:
Nb 0.5000 0.5000 0.5577  6 Br 2.68-2.89
Br 0.0000 0.5000 0.6239  2 Nb 2.73
Br 0.5000 0.5000 0.0767  2 Nb 2.68-2.89
Br 0.5000 0.0000 0.6239  2 Nb 2.73
K 0.0000 0.0000 0.0178  8 Br 3.48-3.84

Summary:
Energy above the most stable polymorph in this dataset, meV/atom: 76
Energy, eV/atom: -4.07
Density, g/cm³: 3.786

***

No. 9
Na2ZrSeO2 | PBE-GGA | relaxed

a b c (Å): 6.2648 6.2648 6.7109
angles (deg): 100.35 100.35 122.65
Last column: nearest neighbours and their distance in Å.
Sites, in units of the cell vectors:
Zr 0.1929 0.8071 0.0000  4 O 2.06-2.18
Zr 0.8071 0.1929 0.0000  4 O 2.06-2.18
Na 0.3010 0.6990 0.5000  2 O 2.36
Na 0.6990 0.3010 0.5000  2 O 2.36
Na 0.0000 0.0000 0.5000  2 Se 2.61
Na 0.5000 0.5000 0.0000  2 Se 2.67, 4 O 2.68
O 0.9629 0.5762 0.1854  2 Zr 2.06-2.18
O 0.0371 0.4238 0.8146  2 Zr 2.06-2.18
O 0.4238 0.0371 0.8146  2 Zr 2.06-2.18
O 0.5762 0.9629 0.1854  2 Zr 2.06-2.18
Se 0.2480 0.2480 0.2541  4 Na 2.61-2.82, 2 Zr 2.78
Se 0.7520 0.7520 0.7459  4 Na 2.61-2.82, 2 Zr 2.78

Summary:
Energy, eV/atom: -6.13
Density, g/cm³: 4.008

***

No. 10
CdO | PBE-GGA | relaxed

a b c (Å): 4.2527 4.2527 6.2045
angles (deg): 90.00 90.00 92.15
Last column: nearest neighbours and their distance in Å.
Sites, in units of the cell vectors:
O 0.4322 0.0681 0.3788  4 Cd 2.22-2.33
O 0.5678 0.9319 0.8788  4 Cd 2.22-2.33
O 0.9319 0.5678 0.3788  4 Cd 2.22-2.33
O 0.0681 0.4322 0.8788  4 Cd 2.22-2.33
Cd 0.9449 0.0551 0.5088  4 O 2.22-2.33
Cd 0.5552 0.4448 0.7477  4 O 2.22-2.33
Cd 0.4448 0.5552 0.2477  4 O 2.22-2.33
Cd 0.0551 0.9449 0.0088  4 O 2.22-2.33

Summary:
Energy, eV/atom: -3.68
Density, g/cm³: 7.606

***

No. 11
BaLiPr | PBE-GGA | relaxed

a b c (Å): 5.3637 5.3637 5.3637
angles (deg): 60.00 60.00 60.00
Last column: nearest neighbours and their distance in Å.
Sites, in units of the cell vectors:
Pr 0.7500 0.7500 0.7500  4 Ba 3.28
Li 0.2500 0.2500 0.2500  4 Ba 3.28
Ba 0.0000 0.0000 0.0000  4 Pr 3.28, 4 Li 3.28

Summary:
Energy, eV/atom: -2.12
Density, g/cm³: 4.340

***

No. 12
RbBaTh | PBE-GGA | relaxed

a b c (Å): 6.2796 6.2796 6.2796
angles (deg): 60.00 60.00 60.00
Last column: nearest neighbours and their distance in Å.
Sites, in units of the cell vectors:
Th 0.7500 0.7500 0.7500  4 Rb 3.85
Rb 0.0000 0.0000 0.0000  4 Th 3.85, 4 Ba 3.85
Ba 0.2500 0.2500 0.2500  4 Rb 3.85

Summary:
Energy, eV/atom: -2.01
Density, g/cm³: 4.313